(1)
# ZrSiTcRu (PBE, relaxed)
# formation energy from raw total energies: -0.512 eV per atom
# crystal system: cubic
data_ZrSiTcRu
_chemical_formula_sum 'Zr4 Si4 Tc4 Ru4'
_cell_length_a 6.250
_cell_length_b 6.250
_cell_length_c 6.250
_cell_angle_alpha 90.00
_cell_angle_beta 90.00
_cell_angle_gamma 90.00
_space_group_name_H-M_alt 'F -4 3 m'
_space_group_IT_number 216
_space_group_name_Hall 'F -4 2 3'
loop_
_atom_site_label
_atom_site_fract_x
_atom_site_fract_y
_atom_site_fract_z
_atom_site_occupancy
Zr1 0.000 0.000 0.000 1
Si1 0.000 0.000 0.500 1
Tc1 0.250 0.250 0.750 1
Ru1 0.250 0.250 0.250 1

---

(2)
# Si2TeRu (PBE, relaxed)
# formation energy from raw total energies: 0.220 eV per atom
# crystal system: tetragonal
data_Si2TeRu
_chemical_formula_sum 'Si8 Te4 Ru4'
_cell_length_a 5.806
_cell_length_b 5.806
_cell_length_c 11.259
_cell_angle_alpha 90.00
_cell_angle_beta 90.00
_cell_angle_gamma 90.00
_space_group_name_H-M_alt 'I -4 2 d'
_space_group_IT_number 122
_space_group_name_Hall 'I -4 2bw'
loop_
_atom_site_label
_atom_site_fract_x
_atom_site_fract_y
_atom_site_fract_z
_atom_site_occupancy
Si1 0.185 0.250 0.125 1
Te1 0.000 0.000 0.500 1
Ru1 0.000 0.000 0.000 1

---

(3)
# Si2TeRu (PBE, relaxed)
# formation energy from raw total energies: 0.597 eV per atom
# crystal system: tetragonal
data_Si2TeRu
_chemical_formula_sum 'Si2 Te1 Ru1'
_cell_length_a 3.783
_cell_length_b 3.783
_cell_length_c 4.909
_cell_angle_alpha 90.00
_cell_angle_beta 90.00
_cell_angle_gamma 90.00
_space_group_name_H-M_alt 'P 4/m m m'
_space_group_IT_number 123
_space_group_name_Hall '-P 4 2'
loop_
_atom_site_label
_atom_site_fract_x
_atom_site_fract_y
_atom_site_fract_z
_atom_site_occupancy
Si1 0.000 0.500 0.000 1
Te1 0.000 0.000 0.500 1
Ru1 0.500 0.500 0.500 1

---

(4)
# SiTeRu2 (PBE, relaxed)
# formation energy from raw total energies: 0.041 eV per atom
# crystal system: tetragonal
data_SiTeRu2
_chemical_formula_sum 'Si1 Te1 Ru2'
_cell_length_a 3.360
_cell_length_b 3.360
_cell_length_c 5.966
_cell_angle_alpha 90.00
_cell_angle_beta 90.00
_cell_angle_gamma 90.00
_space_group_name_H-M_alt 'P 4 m m'
_space_group_IT_number 99
_space_group_name_Hall 'P 4 -2'
loop_
_atom_site_label
_atom_site_fract_x
_atom_site_fract_y
_atom_site_fract_z
_atom_site_occupancy
Si1 0.000 0.000 0.000 1
Te1 0.500 0.500 0.386 1
Ru1 0.000 0.000 0.589 1
Ru2 0.500 0.500 0.933 1

---

(5)
# SiTeRu2 (PBE, relaxed)
# formation energy from raw total energies: -0.063 eV per atom
# crystal system: monoclinic
data_SiTeRu2
_chemical_formula_sum 'Si1 Te1 Ru2'
_cell_length_a 3.063
_cell_length_b 3.073
_cell_length_c 6.604
_cell_angle_alpha 90.00
_cell_angle_beta 90.08
_cell_angle_gamma 90.00
_space_group_name_H-M_alt 'P 1 2/m 1'
_space_group_IT_number 10
_space_group_name_Hall '-P 2y'
loop_
_atom_site_label
_atom_site_fract_x
_atom_site_fract_y
_atom_site_fract_z
_atom_site_occupancy
Si1 0.000 0.000 0.000 1
Te1 0.000 0.000 0.500 1
Ru1 0.500 0.500 0.209 1

---

(6)
# SiTeRu2 (PBE, relaxed)
# formation energy from raw total energies: 0.141 eV per atom
# crystal system: tetragonal
data_SiTeRu2
_chemical_formula_sum 'Si1 Te1 Ru2'
_cell_length_a 3.086
_cell_length_b 3.086
_cell_length_c 7.683
_cell_angle_alpha 90.00
_cell_angle_beta 90.00
_cell_angle_gamma 90.00
_space_group_name_H-M_alt 'P 4 m m'
_space_group_IT_number 99
_space_group_name_Hall 'P 4 -2'
loop_
_atom_site_label
_atom_site_fract_x
_atom_site_fract_y
_atom_site_fract_z
_atom_site_occupancy
Si1 0.000 0.000 0.000 1
Te1 0.500 0.500 0.411 1
Ru1 0.000 0.000 0.610 1
Ru2 0.500 0.500 0.867 1